# 1
Entry from Alexandria via LeMat-Bulk: a relaxed Y8Cd2Ni crystal (PBE-GGA).

The value obtained for the density of states at the Fermi level is 22.06 states/eV per cell. Its formation energy is -0.15 eV per atom. The total energy comes out at -5.54 eV/atom.

It has space group C2/m (No. 12), with a = 17.761 Å, b = 5.342 Å, c = 6.869 Å, α = 90.00°, β = 108.81° and γ = 90.00°. The asymmetric unit holds Y at (0.021, 0.000, 0.284), Y at (0.090, 0.500, 0.927), Y at (0.150, 0.500, 0.456), Y at (0.201, 0.000, 0.795), Cd at (0.184, 0.000, 0.217) and Ni at (0.000, 0.500, 0.500).

# 2
Entry from Alexandria via LeMat-Bulk: a relaxed YCdNi2 crystal (PBE-GGA).

The value obtained for the density of states at the Fermi level is 10.93 states/eV per cell. Its formation energy is 0.01 eV per atom. The total energy comes out at -4.72 eV/atom.

It has space group F-43m (No. 216), with a = 6.570 Å, b = 6.570 Å, c = 6.570 Å, α = 90.00°, β = 90.00° and γ = 90.00°. The asymmetric unit holds Y at (0.000, 0.000, 0.000), Cd at (0.250, 0.250, 0.250), Ni at (0.000, 0.000, 0.500) and Ni at (0.250, 0.250, 0.750).

# 3
Entry from Alexandria via LeMat-Bulk: a relaxed YCdNi3 crystal (PBE-GGA).

The value obtained for the density of states at the Fermi level is 3.32 states/eV per cell. For the excess energy over the best structure of this formula in the dataset, the calculation gives 2.34 eV per formula unit. Its formation energy is 1.09 eV per atom. The total energy comes out at -3.85 eV/atom.

It has space group Pm-3m (No. 221), with a = 4.722 Å, b = 4.722 Å, c = 4.722 Å, α = 90.00°, β = 90.00° and γ = 90.00°. The asymmetric unit holds Y at (0.000, 0.000, 0.000), Cd at (0.500, 0.500, 0.500) and Ni at (0.000, 0.000, 0.500).

# 4
Entry from Alexandria via LeMat-Bulk: a relaxed Y2CdNi2 crystal (PBE-GGA).

The value obtained for the density of states at the Fermi level is 7.77 states/eV per cell. Its formation energy is -0.44 eV per atom. The total energy comes out at -5.53 eV/atom.

It has space group Cmmm (No. 65), with a = 3.925 Å, b = 14.193 Å, c = 3.714 Å, α = 90.00°, β = 90.00° and γ = 90.00°. The asymmetric unit holds Y at (0.000, 0.138, 0.000), Cd at (0.000, 0.500, 0.500) and Ni at (0.000, 0.300, 0.500).

# 5
Entry from Alexandria via LeMat-Bulk: a relaxed Y5CdNi2 crystal (PBE-GGA).

The value obtained for the density of states at the Fermi level is 36.74 states/eV per cell. Its formation energy is -0.30 eV per atom. The total energy comes out at -5.90 eV/atom.

It has space group I4/mcm (No. 140), with a = 7.746 Å, b = 7.746 Å, c = 13.290 Å, α = 90.00°, β = 90.00° and γ = 90.00°. The asymmetric unit holds Y at (0.000, 0.000, 0.000), Y at (0.160, 0.340, 0.135), Cd at (0.000, 0.000, 0.250) and Ni at (0.126, 0.374, 0.500).

# 6
Entry from Alexandria via LeMat-Bulk: a relaxed Y4CdNi2 crystal (PBE-GGA).

The value obtained for the density of states at the Fermi level is 27.62 states/eV per cell. Its formation energy is -0.27 eV per atom. The total energy comes out at -5.74 eV/atom.

It has space group Cc (No. 9), with a = 8.488 Å, b = 15.076 Å, c = 6.755 Å, α = 90.00°, β = 128.48° and γ = 90.00°. The asymmetric unit holds Y at (0.000, 0.031, 0.000), Y at (0.254, 0.325, 0.676), Y at (0.439, 0.244, 0.352), Y at (0.479, 0.038, 0.632), Cd at (0.241, 0.133, 0.823), Ni at (0.149, 0.166, 0.359) and Ni at (0.236, 0.407, 0.029).

# 7
Entry from Alexandria via LeMat-Bulk: a relaxed Y6CdNi crystal (PBE-GGA).

The value obtained for the density of states at the Fermi level is 12.52 states/eV per cell. Its formation energy is 0.04 eV per atom. The total energy comes out at -5.64 eV/atom.

It has space group P-1 (No. 2), with a = 6.918 Å, b = 6.924 Å, c = 7.285 Å, α = 90.08°, β = 118.25° and γ = 119.94°. The asymmetric unit holds Y at (0.042, 0.082, 0.258), Y at (0.297, 0.716, 0.258), Y at (0.322, 0.538, 0.742), Cd at (0.500, 0.000, 0.000) and Ni at (0.500, 0.500, 0.500).

# 8
Entry from Alexandria via LeMat-Bulk: a relaxed Y8CdNi2 crystal (PBE-GGA).

The value obtained for the density of states at the Fermi level is 29.78 states/eV per cell. Its formation energy is -0.12 eV per atom. The total energy comes out at -5.96 eV/atom.

It has space group C2/m (No. 12), with a = 8.601 Å, b = 13.399 Å, c = 5.385 Å, α = 90.00°, β = 103.47° and γ = 90.00°. The asymmetric unit holds Y at (0.000, 0.248, 0.000), Y at (0.112, 0.500, 0.805), Y at (0.203, 0.129, 0.578), Cd at (0.000, 0.000, 0.000) and Ni at (0.000, 0.306, 0.500).

# 9
Entry from Alexandria via LeMat-Bulk: a relaxed YCdNi2 crystal (PBE-GGA).

The value obtained for the density of states at the Fermi level is 4.12 states/eV per cell. Its formation energy is -0.15 eV per atom. The total energy comes out at -4.88 eV/atom.

It has space group Imm2 (No. 44), with a = 3.648 Å, b = 4.179 Å, c = 9.125 Å, α = 90.00°, β = 90.00° and γ = 90.00°. The asymmetric unit holds Y at (0.000, 0.000, 0.000), Cd at (0.000, 0.500, 0.234), Ni at (0.000, 0.000, 0.479) and Ni at (0.000, 0.500, 0.769).

# 10
Entry from Alexandria via LeMat-Bulk: a relaxed Y5Cd4Ni crystal (PBE-GGA).

The value obtained for the density of states at the Fermi level is 9.76 states/eV per cell. Its formation energy is -0.34 eV per atom. The total energy comes out at -4.52 eV/atom.

It has space group P4/mmm (No. 123), with a = 3.627 Å, b = 3.627 Å, c = 19.006 Å, α = 90.00°, β = 90.00° and γ = 90.00°. The asymmetric unit holds Y at (0.000, 0.000, 0.000), Y at (0.000, 0.000, 0.207), Y at (0.000, 0.000, 0.416), Cd at (0.500, 0.500, 0.103), Cd at (0.500, 0.500, 0.309) and Ni at (0.500, 0.500, 0.500).

# 11
Entry from Alexandria via LeMat-Bulk: a relaxed YCdNi2 crystal (PBE-GGA).

The value obtained for the density of states at the Fermi level is 4.74 states/eV per cell. Its formation energy is -0.08 eV per atom. The total energy comes out at -4.82 eV/atom.

It has space group P4mm (No. 99), with a = 3.241 Å, b = 3.241 Å, c = 6.794 Å, α = 90.00°, β = 90.00° and γ = 90.00°. The asymmetric unit holds Y at (0.000, 0.000, 0.000), Cd at (0.500, 0.500, 0.358), Ni at (0.000, 0.000, 0.597) and Ni at (0.500, 0.500, 0.750).

# 12
Entry from Alexandria via LeMat-Bulk: a relaxed Y12CdNi5 crystal (PBE-GGA).

The value obtained for the density of states at the Fermi level is 40.13 states/eV per cell. Its formation energy is -0.30 eV per atom. The total energy comes out at -6.27 eV/atom.

It has space group Immm (No. 71), with a = 9.428 Å, b = 9.584 Å, c = 9.922 Å, α = 90.00°, β = 90.00° and γ = 90.00°. The asymmetric unit holds Y at (0.000, 0.190, 0.216), Y at (0.195, 0.500, 0.177), Y at (0.208, 0.318, 0.500), Cd at (0.000, 0.000, 0.500), Ni at (0.000, 0.000, 0.000), Ni at (0.000, 0.364, 0.000) and Ni at (0.000, 0.500, 0.378).

# 13
Entry from Alexandria via LeMat-Bulk: a relaxed YCdNi2 crystal (PBE-GGA).

The value obtained for the density of states at the Fermi level is 1.89 states/eV per cell. Its formation energy is -0.17 eV per atom. The total energy comes out at -4.91 eV/atom.

It has space group Pmmm (No. 47), with a = 3.355 Å, b = 3.420 Å, c = 6.085 Å, α = 90.00°, β = 90.00° and γ = 90.00°. The asymmetric unit holds Y at (0.000, 0.000, 0.000), Cd at (0.000, 0.000, 0.500) and Ni at (0.500, 0.500, 0.275).